Record 1
This record from the Alexandria database describes Sc2B after structural relaxation. The functional is PBE-GGA.

Output
DFT formation energy (eV per atom): -0.056
Raw total energy (eV per cell): -19.5

The structure in CIF format:
```
data_Sc2B
_chemical_formula_sum 'Sc2 B1'
_cell_length_a 3.437
_cell_length_b 3.437
_cell_length_c 4.791
_cell_angle_alpha 90.00
_cell_angle_beta 90.00
_cell_angle_gamma 90.00
_space_group_name_H-M_alt 'P 4/m m m'
_space_group_IT_number 123
_space_group_name_Hall '-P 4 2'
loop_
_atom_site_label
_atom_site_type_symbol
_atom_site_fract_x
_atom_site_fract_y
_atom_site_fract_z
_atom_site_occupancy
Sc1 Sc 0.000 0.000 0.000 1
Sc2 Sc 0.500 0.500 0.500 1
B1 B 0.000 0.000 0.500 1
```

---

Record 2
This record from the Alexandria database describes CsNaSe after structural relaxation. The functional is PBE-GGA.

Output
Raw total energy (eV per cell): -16.4
Formation energy (no corrections) (eV per atom): -0.85

The structure in CIF format:
```
data_CsNaSe
_chemical_formula_sum 'Cs2 Na2 Se2'
_cell_length_a 4.215
_cell_length_b 4.215
_cell_length_c 12.071
_cell_angle_alpha 90.00
_cell_angle_beta 90.00
_cell_angle_gamma 90.00
_space_group_name_H-M_alt 'I 4 m m'
_space_group_IT_number 107
_space_group_name_Hall 'I 4 -2'
loop_
_atom_site_label
_atom_site_type_symbol
_atom_site_fract_x
_atom_site_fract_y
_atom_site_fract_z
_atom_site_occupancy
Cs1 Cs 0.000 0.000 0.000 1
Na1 Na 0.000 0.000 0.254 1
Se1 Se 0.000 0.000 0.698 1
```